Version one
The following is a GGA+U calculation of LiMoPO5 after structural relaxation, from the Alexandria database.

- total magnetic moment (μB per cell) = 8.0

The structure in POSCAR format:
```
LiMoPO5
1.0
-4.273 5.242 -2.564
-0.505 -6.651 -3.322
-5.553 -2.262 5.365
O Mo P Li
20 4 4 4
Cartesian
-4.388 -0.056 1.436 O
-6.996 0.433 2.518 O
-4.057 -2.514 0.804 O
-3.453 -0.697 -0.870 O
-6.879 -2.973 0.350 O
-3.846 3.541 -2.626 O
-6.485 -7.211 2.106 O
-5.123 -5.120 0.564 O
-6.275 -1.156 -1.325 O
-8.292 -2.665 -1.593 O
-5.895 -2.331 2.908 O
-8.969 -1.136 2.041 O
-5.208 1.450 -1.084 O
-2.040 -1.005 1.073 O
-2.037 -4.465 -1.022 O
-3.335 -4.103 -3.038 O
-4.436 -1.339 -3.428 O
-5.943 -3.614 -1.956 O
-8.294 0.795 0.502 O
-1.362 -2.534 -2.561 O
-5.760 -7.057 0.096 Mo
-5.454 -3.695 1.717 Mo
-4.571 3.387 -0.616 Mo
-4.877 0.024 -2.238 Mo
-3.509 -1.074 0.642 P
-1.896 -3.999 -2.509 P
-6.823 -2.596 -1.162 P
-8.436 0.329 1.989 P
-6.185 1.074 0.681 Li
-1.361 -1.034 -1.016 Li
-4.146 -4.744 -1.201 Li
-8.970 -2.636 0.496 Li
```

=====

Version two
The following is a GGA+U calculation of LiMoPO5 after structural relaxation, from the Alexandria database.

- total magnetic moment (μB per cell) = 8.0

The structure in POSCAR format:
```
LiMoPO5
1.0
-4.767 2.698 -3.777
-4.509 -5.770 1.569
-2.653 3.703 5.993
Mo O P Li
4 20 4 4
Cartesian
-5.801 0.806 -0.894 Mo
-6.129 -0.175 4.678 Mo
-3.766 2.560 3.651 Mo
-8.163 -1.929 0.133 Mo
-3.703 -2.371 0.050 O
-7.072 4.570 1.223 O
-5.303 3.568 2.625 O
-2.649 2.190 1.977 O
-7.509 0.616 3.301 O
-9.280 -1.559 1.807 O
-2.651 -0.986 1.886 O
-7.161 -0.252 0.067 O
-2.133 -0.427 -0.544 O
-4.420 0.015 0.483 O
-6.292 2.198 0.720 O
-4.504 2.071 -1.627 O
-7.426 -1.440 5.412 O
-9.797 1.058 4.328 O
-5.637 -1.567 3.064 O
-4.857 -3.939 2.561 O
-6.627 -2.937 1.159 O
-8.226 3.002 3.735 O
-4.768 0.883 3.717 O
-9.279 1.617 1.899 O
-8.711 1.595 3.342 P
-5.843 3.625 1.173 P
-6.086 -2.994 2.611 P
-3.219 -0.964 0.443 P
-5.965 0.315 1.892 Li
-2.383 1.349 -1.889 Li
0.000 0.000 0.000 Li
-3.581 -1.034 3.781 Li
```

=====

Stability summary - winner: version one; margin: 33 meV per atom.